Entry 1:
Below is crystalline YV2SnAs at its relaxed geometry, with properties calculated at the PBE level.

```
YV2SnAs
1.0
-2.4546 -2.5335 -2.9327
3.4164 -4.2161 0.7828
-2.6169 -1.4770 3.4662
Y Sn As V
1 1 1 2
direct
0.5000 0.5000 0.5000
0.0000 0.5000 0.0000
0.0000 0.0000 0.0000
0.0000 0.0000 0.5000
0.5000 0.0000 0.0000
```



Entry 2:
Below is crystalline VZn2SnAs at its relaxed geometry, with properties calculated at the PBE level.

```
VZn2SnAs
1.0
4.9190 0.0000 0.0000
0.0000 4.6587 0.0000
0.0000 0.0000 4.9190
Zn V Sn As
2 1 1 1
direct
0.0000 0.0000 0.5000
0.5000 0.0000 0.0000
0.0000 0.0000 0.0000
0.5000 0.5000 0.5000
0.0000 0.5000 0.0000
```



Entry 3:
SnAsW2 (PBE, relaxed); excess energy over the best structure of this formula in the dataset = 0.52 eV/f.u.
1.0
4.1022 0.0000 0.0000
0.0000 4.1022 0.0000
2.0511 2.0511 9.3393
W Sn As
4 2 2
direct
0.5676 0.1250 0.2500
0.8750 0.8176 0.7500
0.1824 0.6250 0.2500
0.3750 0.4324 0.7500
0.0000 0.0000 0.0000
0.7500 0.2500 0.5000
0.5000 0.5000 0.0000
0.2500 0.7500 0.5000



Entry 4:
SnAsW2 (PBE, relaxed); excess energy over the best structure of this formula in the dataset = 0.00 eV/f.u.
1.0
0.8993 1.5870 4.2067
-1.8778 3.9363 1.4153
-3.2692 -0.0449 3.2146
W Sn As
2 1 1
direct
0.7500 0.7500 0.7500
0.2500 0.2500 0.2500
0.5000 0.5000 0.5000
0.0000 0.0000 0.0000



Entry 5:
Below is crystalline Sn2AsW at its relaxed geometry, with properties calculated at the PBE level.

```
Sn2AsW
1.0
6.3113 0.0000 0.0000
0.0000 6.3113 0.0000
3.1556 3.1556 6.2160
W Sn As
2 4 2
direct
0.7500 0.2500 0.5000
0.0000 0.0000 0.0000
0.3750 0.3695 0.7500
0.8750 0.8805 0.7500
0.6305 0.1250 0.2500
0.1195 0.6250 0.2500
0.5000 0.5000 0.0000
0.2500 0.7500 0.5000
```



Entry 6:
Y2Sn2As (PBE, relaxed); excess energy over the best structure of this formula in the dataset = 2.71 eV/f.u.
1.0
-4.7501 -2.1727 2.8550
1.5727 -5.5186 -1.5832
0.7242 -4.2109 4.2063
Y As Sn
2 1 2
direct
0.7500 0.2500 0.5000
0.2500 0.7500 0.5000
0.0000 0.0000 0.0000
0.3287 0.3287 0.3425
0.6713 0.6713 0.6575



Entry 7:
Y2Sn2As (PBE, relaxed); excess energy over the best structure of this formula in the dataset = 0.00 eV/f.u.
1.0
7.6410 0.0000 0.0000
0.0000 7.6410 0.0000
0.0000 0.0000 4.6864
Y As Sn
4 2 4
direct
0.3270 0.8270 0.0000
0.1730 0.3270 0.0000
0.8270 0.6730 0.0000
0.6730 0.1730 0.0000
0.0000 0.0000 0.0000
0.5000 0.5000 0.0000
0.8648 0.3648 0.5000
0.3648 0.1352 0.5000
0.6352 0.8648 0.5000
0.1352 0.6352 0.5000



Entry 8:
Y2SnAs2 (PBE, relaxed); excess energy over the best structure of this formula in the dataset = 0.83 eV/f.u.
1.0
-0.3781 7.5238 -2.8117
-8.0317 -0.3760 0.0739
-0.0297 1.3390 3.5870
As Y Sn
4 4 2
direct
0.8414 0.3414 0.5000
0.1586 0.6586 0.5000
0.3414 0.1586 0.5000
0.6586 0.8414 0.5000
0.8487 0.6513 0.0000
0.6513 0.1513 0.0000
0.3487 0.8487 0.0000
0.1513 0.3487 0.0000
0.0000 0.0000 0.0000
0.5000 0.5000 0.0000



D(E_F) values, unit states/eV/cell, following the record order: 5.73, 3.37, 5.45, 5.51, 4.68, 5.57, 6.04, 8.92.
Final energy values, unit eV per atom, following the record order: -6.273, -3.648, -7.887, -8.017, -5.392, -5.298, -5.839, -6.041.